CuOsW2Cl (PBE-GGA, optimized geometry); space group = P4/mmm (123); DOS at the Fermi energy = 5.53 states/eV/cell; raw formation energy = 1.837 eV per atom
1.0
4.784 0.000 0.000
0.000 4.784 0.000
0.000 0.000 4.831
Cu Os W Cl
1 1 2 1
Direct
0.000 0.000 0.000
0.000 0.000 0.500
0.000 0.500 0.500
0.500 0.000 0.500
0.500 0.500 0.000